# 1
VASP calculation (PBE-GGA) on ZrReI2N after structural relaxation.

Results
formation energy from raw total energies	0.618	eV/atom
distance to the lowest polymorph of the same formula	0.0	meV/atom
Fermi-level density of states	1.098	states/eV/atom

Cell: 5.591 5.591 3.757 Å, 90.00 90.00 90.00°
Fractional positions:
I 0.500 0.000 0.000
N 0.000 0.000 0.500
Zr 0.500 0.500 0.500
Re 0.000 0.000 0.000
I 0.000 0.500 0.000


# 2
VASP calculation (PBE-GGA) on Rh2IN after structural relaxation.

Results
formation energy from raw total energies	1.228	eV/atom
distance to the lowest polymorph of the same formula	828.0	meV/atom
Fermi-level density of states	1.505	states/eV/atom

Cell: 4.372 4.372 4.372 Å, 60.00 60.00 60.00°
Fractional positions:
N 0.000 0.000 0.000
Rh 0.250 0.250 0.250
Rh 0.750 0.750 0.750
I 0.500 0.500 0.500


# 3
VASP calculation (PBE-GGA) on Rh2IN after structural relaxation.

Results
formation energy from raw total energies	0.400	eV/atom
distance to the lowest polymorph of the same formula	0.0	meV/atom
Fermi-level density of states	0.359	states/eV/atom

Cell: 5.082 5.082 6.709 Å, 67.74 67.74 90.00°
Fractional positions:
N 0.500 0.500 0.000
I 0.000 0.000 0.000
Rh 0.256 0.625 0.250
N 0.250 0.750 0.500
Rh 0.375 0.506 0.750
Rh 0.494 0.125 0.250
I 0.750 0.250 0.500
Rh 0.875 0.744 0.750


# 4
VASP calculation (PBE-GGA) on RhI3N after structural relaxation.

Results
formation energy from raw total energies	1.169	eV/atom
distance to the lowest polymorph of the same formula	0.0	meV/atom
Fermi-level density of states	2.150	states/eV/atom

Cell: 5.461 5.461 5.461 Å, 90.00 90.00 90.00°
Fractional positions:
I 0.000 0.000 0.500
N 0.500 0.500 0.500
I 0.000 0.500 0.000
I 0.500 0.000 0.000
Rh 0.000 0.000 0.000


# 5
VASP calculation (PBE-GGA) on RhI3N after structural relaxation.

Results
formation energy from raw total energies	1.408	eV/atom
distance to the lowest polymorph of the same formula	238.3	meV/atom
Fermi-level density of states	1.315	states/eV/atom

Cell: 4.977 4.977 4.977 Å, 90.00 90.00 90.00°
Fractional positions:
I 0.000 0.000 0.500
I 0.500 0.000 0.000
N 0.000 0.000 0.000
Rh 0.500 0.500 0.500
I 0.000 0.500 0.000


# 6
VASP calculation (PBE-GGA) on RhSI2N after structural relaxation.

Results
formation energy from raw total energies	1.161	eV/atom
distance to the lowest polymorph of the same formula	391.4	meV/atom
Fermi-level density of states	0.770	states/eV/atom

Cell: 5.781 5.781 3.321 Å, 90.00 90.00 90.00°
Fractional positions:
S 0.000 0.000 0.000
Rh 0.500 0.500 0.500
I 0.000 0.500 0.000
I 0.500 0.000 0.000
N 0.000 0.000 0.500


# 7
VASP calculation (PBE-GGA) on RhSI2N after structural relaxation.

Results
formation energy from raw total energies	0.770	eV/atom
distance to the lowest polymorph of the same formula	0.0	meV/atom
Fermi-level density of states	1.027	states/eV/atom

Cell: 5.592 5.592 3.681 Å, 90.00 90.00 90.00°
Fractional positions:
I 0.000 0.500 0.000
S 0.500 0.500 0.500
N 0.000 0.000 0.500
Rh 0.000 0.000 0.000
I 0.500 0.000 0.000


# 8
VASP calculation (PBE-GGA) on RhS2IN after structural relaxation.

Results
formation energy from raw total energies	0.681	eV/atom
distance to the lowest polymorph of the same formula	0.0	meV/atom
Fermi-level density of states	0.561	states/eV/atom

Cell: 4.974 4.974 3.695 Å, 90.00 90.00 90.00°
Fractional positions:
I 0.500 0.500 0.500
S 0.000 0.500 0.000
N 0.000 0.000 0.500
Rh 0.000 0.000 0.000
S 0.500 0.000 0.000


# 9
VASP calculation (PBE-GGA) on RhS2IN after structural relaxation.

Results
formation energy from raw total energies	1.760	eV/atom
distance to the lowest polymorph of the same formula	1078.9	meV/atom
Fermi-level density of states	1.185	states/eV/atom

Cell: 5.161 5.161 3.873 Å, 90.00 90.00 90.00°
Fractional positions:
Rh 0.500 0.500 0.500
S 0.000 0.500 0.000
I 0.000 0.000 0.000
S 0.500 0.000 0.000
N 0.000 0.000 0.500


# 10
VASP calculation (PBE-GGA) on Sb2RhIN after structural relaxation.

Results
formation energy from raw total energies	0.919	eV/atom
distance to the lowest polymorph of the same formula	0.0	meV/atom
Fermi-level density of states	0.442	states/eV/atom

Cell: 4.726 4.726 4.638 Å, 90.00 90.00 90.00°
Fractional positions:
Rh 0.500 0.500 0.500
Sb 0.000 0.500 0.000
Sb 0.500 0.000 0.000
I 0.000 0.000 0.500
N 0.000 0.000 0.000


# 11
VASP calculation (PBE-GGA) on SbRhI2N after structural relaxation.

Results
formation energy from raw total energies	0.501	eV/atom
distance to the lowest polymorph of the same formula	0.0	meV/atom
Fermi-level density of states	0.874	states/eV/atom

Cell: 5.754 5.754 3.708 Å, 90.00 90.00 90.00°
Fractional positions:
I 0.500 0.000 0.000
Rh 0.000 0.000 0.000
N 0.000 0.000 0.500
Sb 0.500 0.500 0.500
I 0.000 0.500 0.000


# 12
VASP calculation (PBE-GGA) on SbRhI2N after structural relaxation.

Results
formation energy from raw total energies	1.157	eV/atom
distance to the lowest polymorph of the same formula	656.5	meV/atom
Fermi-level density of states	1.101	states/eV/atom

Cell: 6.048 6.048 3.920 Å, 90.00 90.00 90.00°
Fractional positions:
Rh 0.500 0.500 0.500
I 0.500 0.000 0.000
Sb 0.000 0.000 0.000
I 0.000 0.500 0.000
N 0.000 0.000 0.500


# 13
VASP calculation (PBE-GGA) on Sb2RhIN after structural relaxation.

Results
formation energy from raw total energies	1.212	eV/atom
distance to the lowest polymorph of the same formula	293.9	meV/atom
Fermi-level density of states	0.493	states/eV/atom

Cell: 5.069 5.069 5.848 Å, 90.00 90.00 90.00°
Fractional positions:
I 0.000 0.000 0.500
Sb 0.000 0.500 0.000
Rh 0.000 0.000 0.000
Sb 0.500 0.000 0.000
N 0.500 0.500 0.500


# 14
VASP calculation (PBE-GGA) on SbRhI2N after structural relaxation.

Results
formation energy from raw total energies	1.156	eV/atom
distance to the lowest polymorph of the same formula	655.0	meV/atom
Fermi-level density of states	0.775	states/eV/atom

Cell: 5.661 5.661 4.949 Å, 90.00 90.00 90.00°
Fractional positions:
I 0.500 0.000 0.000
Rh 0.000 0.000 0.000
I 0.000 0.500 0.000
Sb 0.000 0.000 0.500
N 0.500 0.500 0.500


# 15
VASP calculation (PBE-GGA) on SbRhI2N after structural relaxation.

Results
formation energy from raw total energies	1.232	eV/atom
distance to the lowest polymorph of the same formula	731.0	meV/atom
Fermi-level density of states	1.155	states/eV/atom

Cell: 4.770 4.770 4.861 Å, 90.00 90.00 90.00°
Fractional positions:
N 0.000 0.000 0.000
I 0.000 0.500 0.000
Sb 0.000 0.000 0.500
I 0.500 0.000 0.000
Rh 0.500 0.500 0.500


# 16
VASP calculation (PBE-GGA) on ScRhI2N after structural relaxation.

Results
formation energy from raw total energies	0.417	eV/atom
distance to the lowest polymorph of the same formula	216.7	meV/atom
Fermi-level density of states	1.172	states/eV/atom

Cell: 5.800 5.800 3.927 Å, 90.00 90.00 90.00°
Fractional positions:
I 0.000 0.500 0.000
N 0.000 0.000 0.500
I 0.500 0.000 0.000
Rh 0.500 0.500 0.500
Sc 0.000 0.000 0.000


# 17
VASP calculation (PBE-GGA) on ScRhI2N after structural relaxation.

Results
formation energy from raw total energies	0.200	eV/atom
distance to the lowest polymorph of the same formula	0.0	meV/atom
Fermi-level density of states	1.035	states/eV/atom

Cell: 5.659 5.659 3.716 Å, 90.00 90.00 90.00°
Fractional positions:
I 0.500 0.000 0.000
Rh 0.000 0.000 0.000
N 0.000 0.000 0.500
I 0.000 0.500 0.000
Sc 0.500 0.500 0.500


# 18
VASP calculation (PBE-GGA) on RhSeIN2 after structural relaxation.

Results
formation energy from raw total energies	1.200	eV/atom
distance to the lowest polymorph of the same formula	14.1	meV/atom
Fermi-level density of states	0.766	states/eV/atom

Cell: 3.860 3.860 8.402 Å, 90.00 90.00 90.00°
Fractional positions:
I 0.000 0.000 0.500
N 0.000 0.500 0.000
Rh 0.000 0.000 0.000
N 0.500 0.000 0.000
Se 0.500 0.500 0.500


# 19
VASP calculation (PBE-GGA) on RhSeI2N after structural relaxation.

Results
formation energy from raw total energies	1.247	eV/atom
distance to the lowest polymorph of the same formula	614.0	meV/atom
Fermi-level density of states	0.973	states/eV/atom

Cell: 5.868 5.868 3.647 Å, 90.00 90.00 90.00°
Fractional positions:
Rh 0.500 0.500 0.500
I 0.500 0.000 0.000
Se 0.000 0.000 0.000
I 0.000 0.500 0.000
N 0.000 0.000 0.500


# 20
VASP calculation (PBE-GGA) on RhSeIN2 after structural relaxation.

Results
formation energy from raw total energies	1.679	eV/atom
distance to the lowest polymorph of the same formula	492.8	meV/atom
Fermi-level density of states	1.132	states/eV/atom

Cell: 3.757 3.757 8.424 Å, 90.00 90.00 90.00°
Fractional positions:
N 0.500 0.000 0.000
Rh 0.500 0.500 0.500
Se 0.000 0.000 0.000
I 0.000 0.000 0.500
N 0.000 0.500 0.000


| no. | size of the total moment (μB/f.u.) |
| --- | --- |
| 1 | 1.81 |
| 2 | 0.00 |
| 3 | 0.00 |
| 4 | 4.07 |
| 5 | 2.29 |
| 6 | 1.57 |
| 7 | 0.61 |
| 8 | 0.00 |
| 9 | 2.51 |
| 10 | 0.00 |
| 11 | 0.00 |
| 12 | 1.86 |
| 13 | 2.81 |
| 14 | 2.83 |
| 15 | 0.27 |
| 16 | 2.97 |
| 17 | 0.97 |
| 18 | 0.31 |
| 19 | 1.98 |
| 20 | 0.56 |